Here is an optimized crystal structure of NdHoAgBi from the Alexandria database. Energies are from PBE.

Geometry as POSCAR:
```
NdHoAgBi
1.0
5.365 0.000 0.000
2.683 4.646 0.000
2.683 1.549 4.381
Nd Bi Ag Ho
1 1 1 1
Cartesian
5.365 3.098 2.190 Nd
8.048 4.646 3.285 Bi
2.683 1.549 1.095 Ag
0.000 0.000 0.000 Ho
```

Electronic total energy   -0.1637 hartree per atom
SG   F-43m
DOS(E_F)   4.39 states/eV/cell

***

Here is an optimized crystal structure of Ho2AgBiO6 from the Alexandria database. Energies are from PBE.

Geometry as POSCAR:
```
Ho2AgBiO6
1.0
5.800 0.000 0.000
2.900 5.023 0.000
2.900 1.675 5.197
Ho Ag Bi O
2 1 1 6
Cartesian
5.800 3.349 2.216 Ho
2.900 1.675 4.959 Ho
8.700 5.023 3.455 Ag
2.900 1.674 0.203 Bi
4.804 1.609 1.166 O
4.791 5.082 1.166 O
7.805 3.356 1.166 O
6.427 4.836 3.911 O
6.775 2.062 3.911 O
4.198 3.148 3.911 O
```

SG   R3
E_form (uncorrected)   -2076 meV per atom
DOS(E_F)   0.01 states/eV/cell

***

Here is an optimized crystal structure of HoAgBiPt from the Alexandria database. Energies are from PBE.

Geometry as POSCAR:
```
HoAgBiPt
1.0
4.988 0.000 0.000
2.494 4.319 0.000
2.494 1.440 4.072
Ag Bi Pt Ho
1 1 1 1
Cartesian
2.494 1.440 1.018 Ag
4.988 2.880 2.036 Bi
7.481 4.319 3.054 Pt
0.000 0.000 0.000 Ho
```

Electronic total energy   -0.1785 hartree per atom
SG   F-43m
DOS(E_F)   2.49 states/eV/cell

***

Here is an optimized crystal structure of HoAgBiRh from the Alexandria database. Energies are from PBE.

Geometry as POSCAR:
```
HoAgBiRh
1.0
4.928 0.000 0.000
2.464 4.268 0.000
2.464 1.423 4.024
Rh Bi Ag Ho
1 1 1 1
Cartesian
7.392 4.268 3.018 Rh
4.928 2.845 2.012 Bi
2.464 1.423 1.006 Ag
0.000 0.000 0.000 Ho
```

Electronic total energy   -0.1857 hartree per atom
SG   F-43m
DOS(E_F)   2.83 states/eV/cell